(A)
This record from Alexandria via LeMat-Bulk describes a relaxed OsRu2Au crystal. The functional is PBE.

a b c (Å): 2.748 2.748 7.950
angles (deg): 90.00 90.00 90.00
Fractional coordinates of all 4 atoms:
1 Os 0.000 0.000 0.000
2 Ru 0.000 0.000 0.465
3 Ru 0.500 0.500 0.228
4 Au 0.500 0.500 0.730

Results
Its volume is 15.010 A^3/atom.

***

(B)
This record from Alexandria via LeMat-Bulk describes a relaxed OsRu2Au crystal. The functional is PBE.

a b c (Å): 2.758 3.852 5.642
angles (deg): 90.00 90.00 90.00
Fractional coordinates of all 4 atoms:
1 Os 0.000 0.000 0.000
2 Ru 0.500 0.500 0.228
3 Ru 0.500 0.500 0.772
4 Au 0.000 0.000 0.500

Results
Its volume is 14.982 A^3/atom.

***

The relative energies come out as (A) 5.3; (B) 0.0, with values in kJ/mol of atoms.